# 1
The following is a DFT calculation (SCAN) of NiTeP2O8 at its PBEsol-relaxed geometry.

Structure (extended XYZ):
```
24
Lattice="4.711 0.000 0.000 0.000 6.360 0.000 -1.623 0.000 9.487" Properties=species:S:1:pos:R:3 pbc="T T T"
Ni 0.290 1.590 2.130
Ni 2.799 4.770 7.358
Te 0.366 1.590 6.483
Te 2.723 4.770 3.004
P 0.557 4.770 1.009
P 0.287 4.770 5.600
P 2.801 1.590 3.887
P 2.532 1.590 8.478
O -0.952 4.770 9.005
O -0.087 4.770 4.116
O -0.372 3.601 6.400
O -0.372 5.939 6.400
O -0.626 1.590 8.140
O 1.240 3.550 1.713
O 1.240 5.990 1.713
O 1.273 1.590 3.826
O 1.816 4.770 5.661
O 1.849 0.370 7.774
O 1.849 2.810 7.774
O 3.715 4.770 1.347
O 3.460 0.421 3.087
O 3.460 2.759 3.087
O 3.176 1.590 5.371
O 4.041 1.590 0.482
```

Computed properties:
Its magnetization is 2.0 μB/f.u. As for the symmetry: P2_1/m (11). As for the total energy: -293.63 eV per cell. Its energy relative to the elements, uncorrected is -182.9 kJ per mole of atoms. The calculation puts the density at 4.396 g/cm3.

=====

# 2
The following is a DFT calculation (SCAN) of NiTeP2O at its PBEsol-relaxed geometry.

Structure (extended XYZ):
```
5
Lattice="4.614 0.000 0.000 0.000 4.614 0.000 0.000 0.000 3.540" Properties=species:S:1:pos:R:3 pbc="T T T"
Ni 0.000 0.000 0.000
Te 2.307 2.307 1.770
P 0.000 2.307 0.000
P 2.307 0.000 0.000
O 0.000 0.000 1.770
```

Computed properties:
Its magnetization is 0.1 μB/f.u. As for the symmetry: P4/mmm (123). As for the total energy: -79.69 eV per cell. Its energy relative to the elements, uncorrected is 14.8 kJ per mole of atoms. The calculation puts the density at 5.823 g/cm3.

=====

# 3
The following is a DFT calculation (SCAN) of Ti2NiP3O12 at its PBEsol-relaxed geometry.

Structure (extended XYZ):
```
36
Lattice="4.292 2.478 6.811 -4.292 2.478 6.811 0.000 -4.956 6.811" Properties=species:S:1:pos:R:3 pbc="T T T"
Ti 0.000 0.000 2.857
Ti 0.000 0.000 7.359
Ti 0.000 0.000 13.074
Ti 0.000 0.000 17.576
Ni 0.000 0.000 0.000
Ni 0.000 0.000 10.216
P -3.043 -0.314 8.514
P -1.249 -2.792 11.919
P 1.793 -2.478 8.514
P -1.793 2.478 11.919
P 1.249 2.792 8.514
P 3.043 0.314 11.919
O -0.767 -1.428 3.855
O -3.674 1.093 8.365
O -2.783 -2.635 12.068
O -0.853 -1.378 6.362
O -0.853 1.378 3.855
O -1.509 -0.157 8.663
O 0.890 -3.728 8.365
O -0.767 1.428 6.362
O 1.620 0.050 3.855
O -0.618 -1.385 11.770
O 0.890 -1.228 8.663
O 1.620 -0.050 6.362
O -1.620 0.050 14.071
O -0.890 1.228 11.770
O 0.618 1.385 8.663
O -1.620 -0.050 16.578
O 0.767 -1.428 14.071
O -0.890 3.728 12.068
O 1.509 0.157 11.770
O 0.853 -1.378 16.578
O 0.853 1.378 14.071
O 2.783 2.635 8.365
O 3.674 -1.093 12.068
O 0.767 1.428 16.578
```

Computed properties:
Its magnetization is 2.6 μB/f.u. As for the symmetry: R-3c (167). As for the total energy: -402.64 eV per cell. Its energy relative to the elements, uncorrected is -252.6 kJ per mole of atoms. The calculation puts the density at 3.357 g/cm3.

=====

# 4
The following is a DFT calculation (SCAN) of TiNi3P4O16 at its PBEsol-relaxed geometry.

Structure (extended XYZ):
```
24
Lattice="4.684 0.000 0.000 0.000 5.636 0.000 -0.047 0.000 9.646" Properties=species:S:1:pos:R:3 pbc="T T T"
Ti 0.000 0.000 0.000
Ni 1.844 0.000 4.825
Ni 2.372 2.818 0.443
Ni 4.206 2.818 5.225
P 0.164 2.818 8.285
P 1.632 2.818 3.520
P 2.662 0.000 1.811
P 3.968 0.000 6.480
O 0.563 2.818 6.820
O 0.802 0.000 6.362
O 0.884 1.621 4.247
O 0.884 4.015 4.247
O 0.868 1.621 9.067
O 0.868 4.015 9.067
O 1.176 0.000 1.476
O 1.315 2.818 2.031
O 2.936 0.000 3.292
O 3.152 2.818 3.680
O 3.225 1.203 5.801
O 3.225 4.433 5.801
O 3.347 2.818 8.482
O 3.387 1.176 1.046
O 3.387 4.460 1.046
O 3.694 0.000 8.005
```

Computed properties:
Its magnetization is 4.0 μB/f.u. As for the symmetry: Pm (6). As for the total energy: -257.88 eV per cell. Its energy relative to the elements, uncorrected is -209.2 kJ per mole of atoms. The calculation puts the density at 3.937 g/cm3.

=====

# 5
The following is a DFT calculation (SCAN) of Ti2NiP2O10 at its PBEsol-relaxed geometry.

Structure (extended XYZ):
```
30
Lattice="7.348 0.000 0.000 0.000 7.317 0.000 -3.536 0.000 6.359" Properties=species:S:1:pos:R:3 pbc="T T T"
Ti 1.005 1.648 1.366
Ti -0.763 2.010 4.546
Ti 4.574 5.307 1.813
Ti 2.806 5.669 4.992
Ni 3.674 0.000 0.000
Ni 1.906 3.659 3.179
P 1.836 4.587 0.037
P 0.068 6.389 3.216
P 3.743 0.928 3.142
P 1.975 2.730 6.322
O -2.885 5.401 5.872
O -1.116 5.575 2.693
O -1.117 3.732 5.258
O 0.651 7.244 2.079
O 2.036 1.177 0.015
O 0.268 2.481 3.194
O 1.393 3.665 1.203
O -0.375 7.311 4.382
O 1.126 5.417 3.768
O 2.894 5.558 0.589
O 0.917 1.759 5.770
O 2.685 1.900 2.591
O 4.187 0.006 1.977
O 2.418 3.652 5.156
O 3.543 4.836 3.165
O 1.775 6.140 6.344
O 3.160 0.073 4.280
O 4.928 3.586 1.100
O 4.927 1.743 3.666
O 6.696 1.916 0.487
```

Computed properties:
Its magnetization is 1.9 μB/f.u. As for the symmetry: P2_1/c (14). As for the total energy: -344.22 eV per cell. Its energy relative to the elements, uncorrected is -262.2 kJ per mole of atoms. The calculation puts the density at 3.656 g/cm3.

=====

# 6
The following is a DFT calculation (SCAN) of Ti3VNi2P6O24 at its PBEsol-relaxed geometry.

Structure (extended XYZ):
```
36
Lattice="4.280 2.471 6.799 -4.280 2.471 6.799 0.000 -4.942 6.799" Properties=species:S:1:pos:R:3 pbc="T T T"
Ti 0.000 0.000 0.000
Ti 0.000 0.000 4.471
Ti 0.000 0.000 10.218
V 0.000 0.000 14.697
Ni 0.000 0.000 7.327
Ni 0.000 0.000 17.557
P -1.259 -2.774 9.037
P -2.487 0.003 12.462
P -1.773 2.477 9.037
P 1.241 -2.155 12.462
P 3.032 0.297 9.037
P 1.246 2.152 12.462
O -0.851 -3.569 7.787
O -1.496 -0.128 5.776
O -3.391 -1.252 12.294
O -0.743 -3.512 10.282
O -2.665 2.521 7.787
O -0.620 -1.371 8.882
O 0.859 -1.232 5.776
O -2.670 2.400 10.282
O -1.611 0.054 11.200
O -0.877 1.222 8.882
O 0.637 1.359 5.776
O -1.645 -0.026 13.721
O 0.759 -1.422 11.200
O -0.889 -1.214 16.014
O 1.497 0.149 8.882
O 0.845 -1.411 13.721
O 0.852 1.368 11.200
O 2.779 -2.310 12.294
O -0.607 1.377 16.014
O 3.516 1.048 7.787
O 0.800 1.437 13.721
O 0.611 3.562 12.294
O 1.496 -0.163 16.014
O 3.413 1.112 10.282
```

Computed properties:
Its magnetization is 5.6 μB/f.u. As for the symmetry: R3 (146). As for the total energy: -402.53 eV per cell. Its energy relative to the elements, uncorrected is -248.4 kJ per mole of atoms. The calculation puts the density at 3.394 g/cm3.

=====

# 7
The following is a DFT calculation (SCAN) of TiZnNiP2O9 at its PBEsol-relaxed geometry.

Structure (extended XYZ):
```
56
Lattice="13.997 0.000 0.000 0.000 6.159 0.000 0.000 0.000 7.449" Properties=species:S:1:pos:R:3 pbc="T T T"
Ti 1.578 1.540 1.213
Ti 5.421 4.619 4.938
Ti 8.576 1.540 2.511
Ti 12.419 4.619 6.236
Zn 2.954 1.540 4.998
Zn 4.045 4.619 1.273
Zn 9.952 1.540 6.176
Zn 11.043 4.619 2.452
Ni 0.000 0.000 3.725
Ni 0.000 3.079 3.725
Ni 6.998 0.000 0.000
Ni 6.998 3.079 0.000
P 0.971 4.619 1.073
P 2.748 4.619 4.417
P 4.250 1.540 0.692
P 6.027 1.540 4.798
P 7.970 4.619 2.651
P 9.747 4.619 6.757
P 11.248 1.540 3.033
P 13.026 1.540 6.376
O 0.118 1.540 7.435
O 0.320 4.619 2.466
O 0.639 1.540 2.670
O 1.931 3.284 4.454
O 1.931 5.954 4.454
O 1.946 3.435 0.920
O 1.946 5.803 0.920
O 3.252 1.540 6.948
O 3.370 1.540 1.972
O 3.628 4.619 5.697
O 3.746 4.619 3.223
O 5.052 0.355 4.644
O 5.052 2.724 4.644
O 5.067 0.205 0.729
O 5.067 2.875 0.729
O 6.359 4.619 6.395
O 6.679 1.540 6.191
O 6.881 4.619 3.710
O 7.116 1.540 3.739
O 7.318 4.619 1.258
O 7.637 1.540 1.054
O 8.930 3.284 6.720
O 8.930 5.954 6.720
O 8.945 3.435 2.805
O 8.945 5.803 2.805
O 10.251 1.540 4.227
O 10.369 1.540 1.753
O 10.626 4.619 5.477
O 10.745 4.619 0.502
O 12.051 0.355 6.530
O 12.051 2.724 6.530
O 12.065 0.205 2.995
O 12.065 2.875 2.995
O 13.358 4.619 4.779
O 13.677 1.540 4.983
O 13.879 4.619 0.015
```

Computed properties:
Its magnetization is 2.0 μB/f.u. As for the symmetry: Pnma (62). As for the total energy: -624.25 eV per cell. Its energy relative to the elements, uncorrected is -230.6 kJ per mole of atoms. The calculation puts the density at 3.909 g/cm3.

=====

# 8
The following is a DFT calculation (SCAN) of TiZnNiP3O12 at its PBEsol-relaxed geometry.

Structure (extended XYZ):
```
36
Lattice="4.236 2.445 6.793 -4.236 2.445 6.793 0.000 -4.891 6.793" Properties=species:S:1:pos:R:3 pbc="T T T"
Ti 0.000 0.000 0.000
Ti 0.000 0.000 10.190
Zn 0.000 0.000 2.937
Zn 0.000 0.000 13.127
Ni 0.000 0.000 5.776
Ni 0.000 0.000 15.966
P -1.262 -2.124 7.968
P -3.027 -0.291 11.365
P -1.208 2.154 7.968
P 1.766 -2.476 11.365
P 2.470 -0.031 7.968
P 1.262 2.767 11.365
O -3.435 -0.985 10.083
O -1.436 0.148 4.456
O -0.608 -3.530 8.156
O -0.865 -1.424 6.687
O -3.495 -1.035 12.631
O 0.590 -1.318 4.456
O -2.752 2.292 8.156
O -0.851 -1.347 9.234
O -0.801 1.461 6.687
O -1.483 -0.154 11.553
O 0.846 1.169 4.456
O -0.741 1.411 9.234
O 1.665 -0.037 6.687
O -0.590 -1.318 14.646
O 0.875 -1.208 11.553
O 2.570 -2.482 10.083
O 1.592 -0.064 9.234
O -0.846 1.169 14.646
O 0.609 1.361 11.553
O 2.643 -2.509 12.631
O 0.865 3.467 10.083
O 3.361 1.238 8.156
O 1.436 0.148 14.646
O 0.851 3.544 12.631
```

Computed properties:
Its magnetization is 1.0 μB/f.u. As for the symmetry: R3c (161). As for the total energy: -386.88 eV per cell. Its energy relative to the elements, uncorrected is -223.8 kJ per mole of atoms. The calculation puts the density at 3.594 g/cm3.

=====

# 9
The following is a DFT calculation (SCAN) of V2NiP3O12 at its PBEsol-relaxed geometry.

Structure (extended XYZ):
```
36
Lattice="4.247 2.452 6.743 -4.247 2.452 6.743 0.000 -4.904 6.743" Properties=species:S:1:pos:R:3 pbc="T T T"
V 0.000 0.000 2.842
V 0.000 0.000 7.273
V 0.000 0.000 12.956
V 0.000 0.000 17.387
Ni 0.000 0.000 0.000
Ni 0.000 0.000 10.114
P -3.008 -0.306 8.429
P -1.239 -2.758 11.800
P 1.769 -2.452 8.429
P -1.769 2.452 11.800
P 1.239 2.758 8.429
P 3.008 0.306 11.800
O -0.772 -1.414 3.800
O -3.630 1.109 8.271
O -2.775 -2.589 11.957
O -0.839 -1.376 6.314
O -0.839 1.376 3.800
O -1.472 -0.137 8.586
O 0.855 -3.698 8.271
O -0.772 1.414 6.314
O 1.611 0.039 3.800
O -0.617 -1.343 11.643
O 0.855 -1.206 8.586
O 1.611 -0.039 6.314
O -1.611 0.039 13.914
O -0.855 1.206 11.643
O 0.617 1.343 8.586
O -1.611 -0.039 16.429
O 0.772 -1.414 13.914
O -0.855 3.698 11.957
O 1.472 0.137 11.643
O 0.839 -1.376 16.429
O 0.839 1.376 13.914
O 2.775 2.589 8.271
O 3.630 -1.109 11.957
O 0.772 1.414 16.429
```

Computed properties:
Its magnetization is 5.0 μB/f.u. As for the symmetry: R-3c (167). As for the total energy: -401.15 eV per cell. Its energy relative to the elements, uncorrected is -232.9 kJ per mole of atoms. The calculation puts the density at 3.511 g/cm3.

=====

# 10
The following is a DFT calculation (SCAN) of VNi5P6O24 at its PBEsol-relaxed geometry.

Structure (extended XYZ):
```
36
Lattice="4.197 2.423 6.639 -4.197 2.423 6.639 0.000 -4.847 6.639" Properties=species:S:1:pos:R:3 pbc="T T T"
V 0.000 0.000 0.000
Ni 0.000 0.000 4.352
Ni 0.000 0.000 7.109
Ni 0.000 0.000 9.883
Ni 0.000 0.000 14.288
Ni 0.000 0.000 17.098
P -1.246 -2.722 8.821
P -2.433 0.020 12.085
P -1.735 2.440 8.821
P 1.199 -2.117 12.085
P 2.981 0.282 8.821
P 1.234 2.097 12.085
O -0.901 -3.616 7.585
O -1.408 -0.206 5.641
O -3.472 -1.183 11.997
O -0.872 -3.443 10.098
O -2.681 2.588 7.585
O -0.526 -1.395 8.517
O 0.883 -1.117 5.641
O -1.684 -0.057 10.789
O -2.545 2.476 10.098
O -0.945 1.153 8.517
O 0.526 1.323 5.641
O -1.652 -0.026 13.383
O 0.892 -1.430 10.789
O -0.772 -1.198 15.608
O 1.471 0.242 8.517
O 0.849 -1.418 13.383
O 0.793 1.487 10.789
O 2.761 -2.415 11.997
O -0.651 1.267 15.608
O 0.804 1.444 13.383
O 3.582 1.028 7.585
O 0.711 3.598 11.997
O 1.423 -0.070 15.608
O 3.417 0.966 10.098
```

Computed properties:
Its magnetization is 7.9 μB/f.u. As for the symmetry: R3 (146). As for the total energy: -382.37 eV per cell. Its energy relative to the elements, uncorrected is -193.2 kJ per mole of atoms. The calculation puts the density at 3.747 g/cm3.

=====

# 11
The following is a DFT calculation (SCAN) of V3NiP6O24 at its PBEsol-relaxed geometry.

Structure (extended XYZ):
```
34
Lattice="4.124 2.381 7.146 -4.124 2.381 7.146 0.000 -4.762 7.146" Properties=species:S:1:pos:R:3 pbc="T T T"
V 0.000 0.000 0.000
V 0.000 0.000 4.658
V 0.000 0.000 15.498
Ni 0.000 0.000 10.834
P -2.927 0.383 9.532
P -1.170 -1.957 13.049
P 1.132 -2.726 9.532
P -1.110 1.992 13.049
P 1.795 2.343 9.532
P 2.280 -0.035 13.049
O -1.442 0.452 3.557
O -1.157 -1.044 5.649
O -3.373 1.071 8.229
O 0.330 -1.474 3.557
O -2.625 -2.443 13.245
O 0.759 -3.456 8.229
O -1.439 0.586 9.687
O -0.325 1.524 5.649
O -1.237 -0.975 11.889
O 0.212 -1.539 9.687
O 1.112 1.023 3.557
O 1.482 -0.480 5.649
O -0.674 -1.353 14.369
O -1.492 0.036 16.532
O -0.226 1.559 11.889
O -0.835 1.260 14.369
O 1.227 0.953 9.687
O 1.463 -0.583 11.889
O -0.803 3.495 13.245
O 0.715 -1.310 16.532
O 1.509 0.093 14.369
O 2.614 2.385 8.229
O 0.777 1.274 16.532
O 3.428 -1.052 13.245
```

Computed properties:
Its magnetization is 1.0 μB/f.u. As for the symmetry: R3 (146). As for the total energy: -358.68 eV per cell. Its energy relative to the elements, uncorrected is -221.6 kJ per mole of atoms. The calculation puts the density at 3.083 g/cm3.